# 1
A plane-wave DFT calculation with PBE was carried out for a geometry-optimized Nb2AsN structure.

```
data_Nb2AsN
_chemical_formula_sum 'Nb4 As2 N2'
_cell_length_a 3.3183
_cell_length_b 3.3183
_cell_length_c 12.0450
_cell_angle_alpha 90.00
_cell_angle_beta 90.00
_cell_angle_gamma 120.00
_space_group_name_H-M_alt 'P 63/m m c'
_space_group_IT_number 194
_space_group_name_Hall '-P 6c 2c'
loop_
_atom_site_label
_atom_site_fract_x
_atom_site_fract_y
_atom_site_fract_z
Nb1 0.3333 0.6667 0.0916
As1 0.3333 0.6667 0.7500
N1 0.0000 0.0000 0.0000
```

=====

# 2
A plane-wave DFT calculation with PBE was carried out for a geometry-optimized Nb4NiAsN2 structure.

```
data_Nb4NiAsN2
_chemical_formula_sum 'Nb4 Ni1 As1 N2'
_cell_length_a 3.2314
_cell_length_b 3.2314
_cell_length_c 12.2283
_cell_angle_alpha 90.00
_cell_angle_beta 90.00
_cell_angle_gamma 120.00
_space_group_name_H-M_alt 'P -6 m 2'
_space_group_IT_number 187
_space_group_name_Hall 'P -6 2'
loop_
_atom_site_label
_atom_site_fract_x
_atom_site_fract_y
_atom_site_fract_z
Nb1 0.0000 0.0000 0.1533
Nb2 0.6667 0.3333 0.3437
Ni1 0.6667 0.3333 0.0000
As1 0.0000 0.0000 0.5000
N1 0.3333 0.6667 0.2445
```

=====

# 3
A plane-wave DFT calculation with PBE was carried out for a geometry-optimized NbAsN2O structure.

```
data_NbAsN2O
_chemical_formula_sum 'Nb2 As2 N4 O2'
_cell_length_a 5.713
_cell_length_b 5.675
_cell_length_c 4.264
_cell_angle_alpha 90.00
_cell_angle_beta 94.08
_cell_angle_gamma 90.00
_space_group_name_H-M_alt 'C 1 m 1'
_space_group_IT_number 8
_space_group_name_Hall 'C -2y'
loop_
_atom_site_label
_atom_site_fract_x
_atom_site_fract_y
_atom_site_fract_z
Nb1 0.000 0.000 0.000
As1 0.398 0.000 0.623
N1 0.298 0.228 0.898
O1 0.059 0.000 0.449
```

=====

no.,final energy (eV per cell),density (g/cm³)
1,-72.0,7.94
2,-71.9,8.01
3,-79.2,5.10